1.
A relaxed Zr2Be2Cl crystal. Source: Alexandria, functional PBE-GGA.

```
Zr2Be2Cl
1.0
-1.523 1.523 8.701
1.523 -1.523 8.701
1.523 1.523 -8.701
Zr Be Cl
2 2 1
direct
0.116 0.116 0.000
0.884 0.884 0.000
0.250 0.750 0.500
0.750 0.250 0.500
0.500 0.500 0.000
```

Formation energy (no corrections) = 0.06 eV per atom
Calculated density = 4.9 g/cm³

=====

2.
A relaxed Zr2BeCl crystal. Source: Alexandria, functional PBE-GGA.

```
Zr2BeCl
1.0
4.479 0.000 0.000
0.000 1.551 4.969
0.000 -1.551 4.969
Zr Be Cl
2 1 1
direct
0.000 0.000 0.000
0.500 0.266 0.266
0.500 0.525 0.525
0.000 0.733 0.733
```

Formation energy (no corrections) = -0.21 eV per atom
Calculated density = 5.5 g/cm³

=====

3.
A relaxed Zr2BeCl crystal. Source: Alexandria, functional PBE-GGA.

```
Zr2BeCl
1.0
1.835 1.059 6.438
-1.835 1.059 6.438
0.000 -2.118 6.438
Zr Be Cl
2 1 1
direct
0.234 0.234 0.234
0.766 0.766 0.766
0.500 0.500 0.500
0.000 0.000 0.000
```

Formation energy (no corrections) = -0.39 eV per atom
Calculated density = 5.0 g/cm³

=====

4.
A relaxed Zr2BeCl crystal. Source: Alexandria, functional PBE-GGA.

```
Zr2BeCl
1.0
-1.593 1.887 6.386
1.593 -1.887 6.386
1.593 1.887 -6.386
Zr Be Cl
2 1 1
direct
0.000 0.000 0.000
0.790 0.290 0.500
0.360 0.860 0.500
0.607 0.607 0.000
```

Formation energy (no corrections) = -0.21 eV per atom
Calculated density = 4.9 g/cm³

=====

5.
A relaxed Zr2BeCl crystal. Source: Alexandria, functional PBE-GGA.

```
Zr2BeCl
1.0
1.647 0.951 9.737
-1.647 0.951 9.737
0.000 -1.902 9.737
Zr Be Cl
2 1 1
direct
0.000 0.000 0.000
0.247 0.247 0.247
0.732 0.732 0.732
0.518 0.518 0.518
```

Formation energy (no corrections) = -0.13 eV per atom
Calculated density = 4.1 g/cm³

=====

6.
A relaxed BeCo crystal. Source: Alexandria, functional PBE-GGA.

```
BeCo
1.0
3.265 0.000 0.000
-1.633 2.828 0.000
0.000 0.000 4.201
Be Co
2 2
direct
0.000 0.000 0.000
0.000 0.000 0.500
0.333 0.667 0.250
0.667 0.333 0.750
```

Calculated density = 5.8 g/cm³
Electronic total energy = -5.227 eV per atom

=====

Fermi-level density of states
In order: 4.008; 3.219; 3.191; 2.344; 3.972; 6.483
Unit: states/eV/cell